[1]
KTcRh2, relaxed, DFT PBE; energy relative to the lowest polymorph listed for this composition = 305 meV per atom; crystal system = monoclinic; theoretical density = 6.861 g cm⁻³; energy relative to the elements = 0.64 eV/atom; density of states at the Fermi level = 5.3 states/eV/f.u.; spin magnetization = 0.000 μB per atom; volume = 20.75 A^3/atom; SG = Cm (8)
1.0
-1.329 0.370 -4.601
-3.437 -0.866 -3.241
-3.019 5.741 0.539
Rh Tc K
2 1 1
Direct
0.747 0.747 0.717
0.025 0.025 0.925
0.474 0.474 0.622
0.255 0.255 0.236



[2]
ScZn5Ni, relaxed, DFT PBE; crystal system = tetragonal; theoretical density = 6.330 g cm⁻³; energy relative to the elements = -0.23 eV/atom; density of states at the Fermi level = 3.0 states/eV/f.u.; spin magnetization = 0.000 μB per atom; volume = 16.14 A^3/atom; SG = P4/mmm (123)
1.0
4.203 0.000 0.000
0.000 4.203 0.000
0.000 0.000 6.397
Zn Ni Sc
5 1 1
Direct
0.000 0.500 0.703
0.500 0.000 0.703
0.500 0.000 0.297
0.000 0.500 0.297
0.500 0.500 0.000
0.000 0.000 0.500
0.000 0.000 0.000



[3]
LiTcRu2, relaxed, DFT PBE; energy relative to the lowest polymorph listed for this composition = 162 meV per atom; crystal system = tetragonal; theoretical density = 9.371 g cm⁻³; energy relative to the elements = 0.26 eV/atom; density of states at the Fermi level = 4.2 states/eV/f.u.; spin magnetization = 0.000 μB per atom; volume = 13.60 A^3/atom; SG = P4/mmm (123)
1.0
4.327 -0.015 0.000
0.010 4.327 0.000
0.000 0.000 2.907
Ru Tc Li
2 1 1
Direct
0.000 0.000 0.000
0.500 0.500 0.000
0.500 0.000 0.500
0.000 0.500 0.500



[4]
LaPm2Y5Er, relaxed, DFT PBE; crystal system = tetragonal; theoretical density = 5.743 g cm⁻³; energy relative to the elements = 0.25 eV/atom; density of states at the Fermi level = 10.5 states/eV/f.u.; spin magnetization = 0.000 μB per atom; volume = 33.43 A^3/atom; SG = I4/mcm (140)
1.0
-2.710 -8.060 -2.298
8.336 -2.844 0.147
-3.584 3.577 8.562
Y Pm La Er
10 4 2 2
Direct
0.156 0.073 0.729
0.000 0.000 0.000
0.500 0.500 0.000
0.573 0.656 0.729
0.927 0.427 0.271
0.344 0.844 0.271
0.073 0.573 0.729
0.844 0.927 0.271
0.427 0.344 0.271
0.656 0.156 0.729
0.616 0.116 0.000
0.384 0.884 0.000
0.116 0.384 0.000
0.884 0.616 0.000
0.250 0.250 0.500
0.750 0.750 0.500
0.250 0.750 0.500
0.750 0.250 0.500



[5]
MgBeAs, relaxed, DFT PBE; energy relative to the lowest polymorph listed for this composition = 0 meV per atom; crystal system = trigonal; theoretical density = 3.542 g cm⁻³; energy relative to the elements = -0.17 eV/atom; density of states at the Fermi level = 0.8 states/eV/f.u.; spin magnetization = 0.000 μB per atom; volume = 16.91 A^3/atom; SG = P3m1 (156)
1.0
-0.844 2.056 3.043
-0.239 -3.758 0.140
3.933 -0.204 1.229
Be As Mg
1 1 1
Direct
0.333 0.667 0.157
0.000 0.000 0.174
0.667 0.333 0.669



[6]
Ca2Cd3, relaxed, DFT PBE; crystal system = orthorhombic; theoretical density = 4.600 g cm⁻³; energy relative to the elements = -0.20 eV/atom; density of states at the Fermi level = 2.6 states/eV/f.u.; spin magnetization = 0.000 μB per atom; volume = 30.13 A^3/atom; SG = Fdd2 (43)
1.0
12.193 -4.681 1.982
8.195 -6.695 6.023
2.564 -2.138 -5.023
Cd Ca
6 4
Direct
0.791 0.573 0.901
0.004 0.996 0.996
0.349 0.515 0.459
0.677 0.459 0.515
0.254 0.246 0.246
0.735 0.901 0.573
0.352 0.774 0.256
0.994 0.632 0.898
0.618 0.256 0.774
0.476 0.898 0.632



Question: Which value of theoretical density does entry 6 give?
Answer: 4.600 g cm⁻³



Question: theoretical density of number 4 (LaPm2Y5Er)?
Answer: 5.743 g cm⁻³